No. 1
The following is a DFT calculation (PBE) of an optimized crystal structure of CuH3Pd.

Output
V: 8.32 Å³ per atom
M_tot: 0.0 μB per formula unit
final energy: -3.65 eV per atom

Lattice parameters (Å, degrees): 3.464 3.464 3.464 90.00 90.00 90.00
Space group Pm-3m (No. 221)
One atom of each set of equivalent atoms:
Cu 0.000 0.000 0.000 (multiplicity 1)
H 0.000 0.500 0.500 (multiplicity 3)
Pd 0.500 0.500 0.500 (multiplicity 1)

No. 2
The following is a DFT calculation (PBE) of an optimized crystal structure of CeTl5Ag.

Output
V: 27.89 Å³ per atom
M_tot: 0.9 μB per formula unit
calculated formation energy: -0.08 eV/atom

Lattice parameters (Å, degrees): 5.006 5.006 7.791 90.00 90.00 90.00
Space group P4/mmm (No. 123)
One atom of each set of equivalent atoms:
Ce 0.000 0.000 0.000 (multiplicity 1)
Tl 0.000 0.500 0.289 (multiplicity 4)
Tl 0.500 0.500 0.000 (multiplicity 1)
Ag 0.000 0.000 0.500 (multiplicity 1)

No. 3
The following is a DFT calculation (PBE) of an optimized crystal structure of La6Tb3Y.

Output
V: 35.00 Å³ per atom
M_tot: 0.0 μB per formula unit
calculated formation energy: 0.13 eV/atom

Lattice parameters (Å, degrees): 10.842 19.569 6.597 90.00 90.00 90.00
Space group Cmc2_1 (No. 36)
One atom of each set of equivalent atoms:
La 0.000 0.030 0.000 (multiplicity 4)
La 0.000 0.286 0.801 (multiplicity 4)
La 0.175 0.459 0.690 (multiplicity 8)
La 0.218 0.290 0.500 (multiplicity 8)
Tb 0.000 0.385 0.225 (multiplicity 4)
Tb 0.172 0.118 0.609 (multiplicity 8)
Y 0.000 0.187 0.236 (multiplicity 4)

No. 4
The following is a DFT calculation (PBE) of an optimized crystal structure of Nd2Sm3Er4.

Output
V: 32.59 Å³ per atom
M_tot: 0.0 μB per formula unit
calculated formation energy: 0.02 eV/atom

Lattice parameters (Å, degrees): 11.299 5.076 10.764 90.00 108.15 90.00
Space group C2/m (No. 12)
One atom of each set of equivalent atoms:
Nd 0.166 0.000 0.221 (multiplicity 4)
Sm 0.000 0.500 0.000 (multiplicity 2)
Sm 0.167 0.000 0.557 (multiplicity 4)
Er 0.000 0.500 0.334 (multiplicity 4)
Er 0.166 0.000 0.889 (multiplicity 4)

No. 5
The following is a DFT calculation (PBE) of an optimized crystal structure of Mg2ScBr.

Output
V: 25.68 Å³ per atom
raw formation energy: -0.374 eV per atom
M_tot: 0.5 μB per formula unit

Lattice parameters (Å, degrees): 3.388 3.388 8.948 90.00 90.00 90.00
Space group P4mm (No. 99)
One atom of each set of equivalent atoms:
Mg 0.000 0.000 0.000 (multiplicity 1)
Mg 0.500 0.500 0.218 (multiplicity 1)
Sc 0.000 0.000 0.456 (multiplicity 1)
Br 0.500 0.500 0.631 (multiplicity 1)

No. 6
The following is a DFT calculation (PBE) of an optimized crystal structure of CdCo3Au.

Output
V: 20.80 Å³ per atom
M_tot: 6.0 μB per formula unit
calculated formation energy: 1.33 eV/atom

Lattice parameters (Å, degrees): 4.703 4.703 4.703 90.00 90.00 90.00
Space group Pm-3m (No. 221)
One atom of each set of equivalent atoms:
Cd 0.000 0.000 0.000 (multiplicity 1)
Co 0.000 0.500 0.500 (multiplicity 3)
Au 0.500 0.500 0.500 (multiplicity 1)

No. 7
The following is a DFT calculation (PBE) of an optimized crystal structure of CsSnSb3.

Output
V: 44.86 Å³ per atom
raw formation energy: 1.436 eV per atom
M_tot: 0.0 μB per formula unit

Lattice parameters (Å, degrees): 6.076 6.076 6.076 90.00 90.00 90.00
Space group Pm-3m (No. 221)
One atom of each set of equivalent atoms:
Cs 0.000 0.000 0.000 (multiplicity 1)
Sn 0.500 0.500 0.500 (multiplicity 1)
Sb 0.000 0.000 0.500 (multiplicity 3)

No. 8
The following is a DFT calculation (PBE) of an optimized crystal structure of RbNiGe2.

Output
V: 24.45 Å³ per atom
M_tot: 0.0 μB per formula unit
calculated formation energy: -0.14 eV/atom

Lattice parameters (Å, degrees): 4.0537 4.0537 20.6194 90.00 90.00 120.00
Space group R3m (No. 160, hexagonal axes)
One atom of each set of equivalent atoms:
Rb 0.0000 0.0000 0.0000 (multiplicity 3)
Ni 0.0000 0.0000 0.1728 (multiplicity 3)
Ge 0.0000 0.0000 0.5388 (multiplicity 3)
Ge 0.0000 0.0000 0.8000 (multiplicity 3)

No. 9
The following is a DFT calculation (PBE) of an optimized crystal structure of UNiAg2S4.

Output
V: 18.87 Å³ per atom
raw formation energy: -0.494 eV per atom
M_tot: 1.7 μB per formula unit

Lattice parameters (Å, degrees): 6.694 6.694 6.739 90.00 90.00 90.00
Space group I-4 (No. 82)
One atom of each set of equivalent atoms:
U 0.000 0.000 0.000 (multiplicity 2)
Ni 0.000 0.500 0.250 (multiplicity 2)
Ag 0.000 0.000 0.500 (multiplicity 2)
Ag 0.000 0.500 0.750 (multiplicity 2)
S 0.193 0.230 0.275 (multiplicity 8)

No. 10
The following is a DFT calculation (PBE) of an optimized crystal structure of Sr6HIr.

Output
V: 39.36 Å³ per atom
M_tot: 0.0 μB per formula unit
final energy: -2.96 eV per atom

Lattice parameters (Å, degrees): 7.248 7.254 8.079 63.33 90.00 60.06
Space group P-1 (No. 2)
One atom of each set of equivalent atoms:
Sr 0.095 0.001 0.248 (multiplicity 2)
Sr 0.252 0.344 0.752 (multiplicity 2)
Sr 0.403 0.348 0.249 (multiplicity 2)
H 0.500 0.500 0.500 (multiplicity 1)
Ir 0.000 0.500 0.000 (multiplicity 1)

No. 11
The following is a DFT calculation (PBE) of an optimized crystal structure of Ca2Ti6N2O11.

Output
V: 12.50 Å³ per atom
raw formation energy: -2.768 eV per atom
M_tot: 0.0 μB per formula unit

Lattice parameters (Å, degrees): 14.808 3.802 9.506 90.00 101.20 90.00
Space group Cm (No. 8)
One atom of each set of equivalent atoms:
Ca 0.000 0.000 0.000 (multiplicity 2)
Ca 0.089 0.000 0.547 (multiplicity 2)
Ti 0.179 0.500 0.822 (multiplicity 2)
Ti 0.225 0.500 0.144 (multiplicity 2)
Ti 0.278 0.500 0.475 (multiplicity 2)
Ti 0.315 0.000 0.952 (multiplicity 2)
Ti 0.400 0.000 0.291 (multiplicity 2)
Ti 0.429 0.000 0.653 (multiplicity 2)
N 0.203 0.000 0.810 (multiplicity 2)
N 0.298 0.500 0.974 (multiplicity 2)
O 0.054 0.500 0.707 (multiplicity 2)
O 0.118 0.500 0.001 (multiplicity 2)
O 0.182 0.500 0.317 (multiplicity 2)
O 0.206 0.500 0.606 (multiplicity 2)
O 0.257 0.000 0.145 (multiplicity 2)
O 0.316 0.000 0.480 (multiplicity 2)
O 0.359 0.500 0.296 (multiplicity 2)
O 0.411 0.000 0.839 (multiplicity 2)
O 0.413 0.500 0.614 (multiplicity 2)
O 0.443 0.000 0.123 (multiplicity 2)
O 0.498 0.000 0.432 (multiplicity 2)

No. 12
The following is a DFT calculation (PBE) of an optimized crystal structure of ScSn2Pt2.

Output
V: 20.52 Å³ per atom
M_tot: 0.0 μB per formula unit
calculated formation energy: -0.58 eV/atom

Lattice parameters (Å, degrees): 7.233 7.233 3.923 90.00 90.00 90.00
Space group P4/mbm (No. 127)
One atom of each set of equivalent atoms:
Sc 0.000 0.000 0.000 (multiplicity 2)
Sn 0.171 0.329 0.500 (multiplicity 4)
Pt 0.135 0.635 0.000 (multiplicity 4)